Entry from Alexandria via LeMat-Bulk: crystalline Cs2TmTeO6 at its relaxed geometry (PBE).

* spin magnetization: 1.1 μB per formula unit
* N(E_F): 0.191 states/eV/atom
* total DFT energy (no corrections): -5.643 eV/atom

Unit cell a=5.8102 b=6.8485 c=6.8485 alpha=120.00 beta=90.00 gamma=90.00
Last column: nearest neighbours and their distance in Å.
Fractional positions:
Cs  0.1380  0.3333  0.6667  9 O 3.16-3.48
Cs  0.8620  0.6667  0.3333  9 O 3.16-3.48
Tm  0.5000  0.0000  0.0000  6 O 2.28
Te  0.0000  0.0000  0.0000  6 O 1.96
O  0.7894  0.1294  0.2588  1 Te 1.96
O  0.7894  0.1294  0.8706  1 Te 1.96
O  0.7894  0.7412  0.8706  1 Te 1.96
O  0.2106  0.8706  0.1294  1 Te 1.96
O  0.2106  0.2588  0.1294  1 Te 1.96
O  0.2106  0.8706  0.7412  1 Te 1.96